No. 1
The following is a GGA-PBE calculation of CsPaIn2F8 after structural relaxation, from the Alexandria database.

Results
The total DFT energy (no corrections) comes out at -66.17 eV/cell. As for the raw formation energy: -2948 meV per atom.

Unit cell a=4.064 b=7.326 c=8.985 alpha=89.95 beta=89.95 gamma=91.24
Positions (direct):
In  0.500  0.500  0.710
F  0.497  0.837  0.000
F  0.514  0.307  0.500
F  0.503  0.163  0.000
F  0.997  0.820  0.186
F  0.003  0.180  0.814
Pa  0.000  0.000  0.000
In  0.500  0.500  0.290
F  0.997  0.820  0.814
Cs  0.000  0.000  0.500
F  0.003  0.180  0.186
F  0.486  0.693  0.500

***

No. 2
The following is a GGA-PBE calculation of LiYUS4 after structural relaxation, from the Alexandria database.

Results
The total DFT energy (no corrections) comes out at -95.16 eV/cell. As for the raw formation energy: -1629 meV per atom. For the density of states at the Fermi level, the calculation gives 4.50 states/eV/f.u.

Unit cell a=8.001 b=7.938 c=7.938 alpha=59.72 beta=59.74 gamma=59.74
Positions (direct):
Y  0.000  0.500  0.500
S  0.248  0.239  0.739
S  0.245  0.237  0.272
S  0.245  0.772  0.737
Li  0.618  0.632  0.132
S  0.755  0.763  0.728
S  0.755  0.228  0.263
Y  0.000  0.000  0.000
Li  0.382  0.368  0.868
S  0.773  0.239  0.739
U  0.000  0.000  0.500
U  0.500  0.000  0.500
S  0.752  0.761  0.261
S  0.227  0.761  0.261